Record 1
DFT (PBE-GGA) results for crystalline Tl2Sn7 at its relaxed geometry.

The electronic total energy comes out at -3.593 eV per atom. The energy of formation is 0.0458 eV/atom. The calculation puts the density at 8.0 g/cm³.

a b c (Å): 5.811 5.811 8.780
angles (deg): 90.00 90.00 120.00
Sites, in units of the cell vectors:
1 Sn 0.000 0.671 0.335
2 Sn 0.329 0.000 0.665
3 Sn 0.671 0.671 0.665
4 Sn 0.000 0.329 0.665
5 Sn 0.000 0.000 0.000
6 Sn 0.329 0.329 0.335
7 Sn 0.671 0.000 0.335
8 Tl 0.667 0.333 0.000
9 Tl 0.333 0.667 0.000



Record 2
DFT (PBE-GGA) results for crystalline Ba4PbI2Br at its relaxed geometry.

The electronic total energy comes out at -3.294 eV per atom. The calculation puts the density at 5.0 g/cm³.

a b c (Å): 5.096 8.809 8.492
angles (deg): 70.16 90.00 90.00
Sites, in units of the cell vectors:
1 Ba 0.000 0.729 0.748
2 Ba 0.500 0.726 0.263
3 Ba 0.500 0.274 0.737
4 Ba 0.000 0.271 0.252
5 Pb 0.000 0.500 0.500
6 Br 0.500 0.500 0.000
7 I 0.500 0.000 0.500
8 I 0.000 0.000 0.000



Record 3
DFT (PBE-GGA) results for crystalline Ce6PuZn5 at its relaxed geometry.

The electronic total energy comes out at -4.847 eV per atom. The energy of formation is -0.1547 eV/atom. The calculation puts the density at 8.4 g/cm³.

a b c (Å): 5.344 6.731 8.757
angles (deg): 67.39 74.48 90.00
Last column: magnetic moment on the atom in μB.
Sites, in units of the cell vectors:
1 Zn 0.000 0.500 0.000  0.02
2 Zn 0.584 0.676 0.648  -0.01
3 Zn 0.574 0.166 0.669  0.01
4 Zn 0.416 0.324 0.352  -0.01
5 Zn 0.426 0.834 0.331  0.01
6 Ce 0.910 0.562 0.347  -0.61
7 Ce 0.910 0.091 0.347  -0.61
8 Ce 0.500 0.732 0.000  -0.80
9 Ce 0.090 0.909 0.653  -0.61
10 Ce 0.500 0.268 0.000  -0.80
11 Ce 0.090 0.438 0.653  -0.61
12 Pu 0.000 0.000 0.000  -5.73



Record 4
DFT (PBE-GGA) results for crystalline ZnOsI3 at its relaxed geometry.

The electronic total energy comes out at -2.758 eV per atom. The calculation puts the density at 6.4 g/cm³.

a b c (Å): 5.475 5.475 5.475
angles (deg): 90.00 90.00 90.00
Last column: magnetic moment on the atom in μB.
Sites, in units of the cell vectors:
1 I 0.000 0.000 0.500  0.02
2 I 0.500 0.000 0.000  0.17
3 I 0.000 0.500 0.000  0.05
4 Os 0.000 0.000 0.000  1.19
5 Zn 0.500 0.500 0.500  0.00



Record 5
DFT (PBE-GGA) results for crystalline Be2ZnCl at its relaxed geometry.

The electronic total energy comes out at -2.403 eV per atom. The calculation puts the distance to the lowest polymorph of the same formula at 192 meV per atom. The calculation puts the density at 3.7 g/cm³.

a b c (Å): 7.030 7.030 7.030
angles (deg): 24.63 24.63 24.63
Sites, in units of the cell vectors:
1 Cl 0.250 0.250 0.250
2 Be 0.001 0.001 0.001
3 Be 0.499 0.499 0.499
4 Zn 0.750 0.750 0.750



Record 6
DFT (PBE-GGA) results for crystalline PrYTl at its relaxed geometry.

The electronic total energy comes out at -4.770 eV per atom. The energy of formation is -0.2330 eV/atom. The calculation puts the distance to the lowest polymorph of the same formula at 51 meV per atom. The calculation puts the density at 7.7 g/cm³.

a b c (Å): 3.689 3.689 7.367
angles (deg): 104.50 104.50 90.00
Sites, in units of the cell vectors:
1 Y 0.602 0.602 0.203
2 Pr 0.293 0.293 0.585
3 Tl 0.956 0.956 0.911